No. 1
Density functional theory data (GGA-PBE) for a geometry-optimized CsLi2BiF8 structure.

- energy relative to the elements, uncorrected (eV per formula unit) = -28.033
- SG = No. 12
- E_tot (eV/cell) = -51.57
- volume (Å³ per atom) = 17.3
- DOS at the Fermi energy (states/eV per atom) = 0.25

Cell: 5.1986 5.1986 8.2254 Å, 99.41 99.41 72.34°
Sites, in units of the cell vectors:
Cs: 0.0000 0.0000 0.0000
Li: 0.4961 0.4961 0.8340
Li: 0.5039 0.5039 0.1660
Bi: 0.0000 0.0000 0.5000
F: 0.2142 0.7398 0.3168
F: 0.2443 0.2443 0.5179
F: 0.2602 0.7858 0.6832
F: 0.3431 0.3431 0.9702
F: 0.6569 0.6569 0.0298
F: 0.7398 0.2142 0.3168
F: 0.7557 0.7557 0.4821
F: 0.7858 0.2602 0.6832

=====

No. 2
Density functional theory data (GGA-PBE) for a geometry-optimized PmMgGa4Pd2 structure.

- DFT formation energy (eV/atom) = -0.5633
- SG = No. 166
- E_tot (eV/cell) = -33.34
- volume (Å³ per atom) = 18.4
- DOS at the Fermi energy (states/eV per atom) = 0.35

Cell: 9.2353 9.2353 9.2353 Å, 27.42 27.42 27.42°
Sites, in units of the cell vectors:
Pm: 0.0000 0.0000 0.0000
Mg: 0.5000 0.5000 0.5000
Ga: 0.1208 0.1208 0.1208
Ga: 0.3953 0.3953 0.3953
Ga: 0.6047 0.6047 0.6047
Ga: 0.8792 0.8792 0.8792
Pd: 0.2304 0.2304 0.2304
Pd: 0.7696 0.7696 0.7696